## InCu (GGA-PBE)

Data for an optimized crystal structure of InCu.

The density comes out at 7.9 g/cm³. For the total energy, the calculation gives -38.5 eV for the cell shown. The formation energy comes out at 206 meV per atom.

It has space group R-3m (No. 166, hexagonal axes), with a = 3.1497 Å, b = 3.1497 Å, c = 26.1615 Å, α = 90.00°, β = 90.00° and γ = 120.00°. The distinct sites, in fractional coordinates, are In at (0.0000, 0.0000, 0.1136) and Cu at (0.0000, 0.0000, 0.3659).



## InCu2 (GGA-PBE)

Data for an optimized crystal structure of InCu2.

The density comes out at 6.7 g/cm³. For the total energy, the calculation gives -36.9 eV for the cell shown. The formation energy comes out at 570 meV per atom.

It has space group Pa-3 (No. 205), with a = 6.2160 Å, b = 6.2160 Å, c = 6.2160 Å, α = 90.00°, β = 90.00° and γ = 90.00°. The distinct sites, in fractional coordinates, are In at (0.0000, 0.0000, 0.0000) and Cu at (0.1113, 0.6113, 0.8887).



## In2Cu (GGA-PBE)

Data for an optimized crystal structure of In2Cu.

The density comes out at 7.7 g/cm³. For the total energy, the calculation gives -36.2 eV for the cell shown. The formation energy comes out at 175 meV per atom.

It has space group Cmcm (No. 63), with a = 3.3623 Å, b = 14.5337 Å, c = 5.1978 Å, α = 90.00°, β = 90.00° and γ = 90.00°. The distinct sites, in fractional coordinates, are In at (0.0000, 0.0498, 0.2500), In at (0.0000, 0.2695, 0.7500) and Cu at (0.0000, 0.3874, 0.2500).



## In2Cu (GGA-PBE)

Data for an optimized crystal structure of In2Cu.

The density comes out at 7.7 g/cm³. For the total energy, the calculation gives -37.4 eV for the cell shown. The formation energy comes out at 76 meV per atom.

It has space group C2/m (No. 12), with a = 14.1060 Å, b = 3.0893 Å, c = 6.4456 Å, α = 90.00°, β = 115.94° and γ = 90.00°. The distinct sites, in fractional coordinates, are In at (0.1314, 0.0000, 0.1246), In at (0.1474, 0.0000, 0.6410) and Cu at (0.0006, 0.5000, 0.2753).



## InCu (GGA-PBE)

Data for an optimized crystal structure of InCu.

The density comes out at 4.9 g/cm³. For the total energy, the calculation gives -48.8 eV for the cell shown. The formation energy comes out at 366 meV per atom.

It has space group I-43m (No. 217), with a = 7.8658 Å, b = 7.8658 Å, c = 7.8658 Å, α = 90.00°, β = 90.00° and γ = 90.00°. The distinct sites, in fractional coordinates, are In at (0.2056, 0.2056, 0.7944) and Cu at (0.1115, 0.1115, 0.1115).



## InCu (GGA-PBE)

Data for an optimized crystal structure of InCu.

The density comes out at 8.1 g/cm³. For the total energy, the calculation gives -26.4 eV for the cell shown. The formation energy comes out at 118 meV per atom.

It has space group Imma (No. 74), with a = 3.0680 Å, b = 4.4413 Å, c = 10.7520 Å, α = 90.00°, β = 90.00° and γ = 90.00°. The distinct sites, in fractional coordinates, are In at (0.0000, 0.2500, 0.1077) and Cu at (0.0000, 0.2500, 0.6554).